Record 1
Here is a geometry-optimized MgBi2F structure from the Alexandria database. Energies are from PBE.

Cell: 4.4519 4.4519 11.1270 Å, 78.46 78.46 90.00°
Atoms (fractional coordinates):
Bi (0.1163, 0.6250, 0.2500)
Bi (0.3750, 0.3663, 0.7500)
Bi (0.8750, 0.8837, 0.7500)
Bi (0.6337, 0.1250, 0.2500)
Mg (0.0000, 0.0000, 0.0000)
Mg (0.7500, 0.2500, 0.5000)
F (0.5000, 0.5000, 0.0000)
F (0.2500, 0.7500, 0.5000)

Results
Fermi-level density of states, states/eV per cell: 4.2


Record 2
Here is a geometry-optimized MgBiF5 structure from the Alexandria database. Energies are from PBE.

Cell: 3.9115 5.7465 5.7465 Å, 72.08 70.10 70.10°
Atoms (fractional coordinates):
F (0.2610, 0.7390, 0.7390)
Bi (0.0000, 0.0000, 0.0000)
F (0.7390, 0.2610, 0.2610)
F (0.5000, 0.1962, 0.8038)
Mg (0.5000, 0.5000, 0.5000)
F (0.5000, 0.8038, 0.1962)
F (0.0000, 0.5000, 0.5000)

Results
Fermi-level density of states, states/eV per cell: 0.0


Record 3
Here is a geometry-optimized Mg2Bi2F structure from the Alexandria database. Energies are from PBE.

Cell: 7.2460 7.2460 4.8285 Å, 90.00 90.00 90.00°
Atoms (fractional coordinates):
Mg (0.3476, 0.1524, 0.5000)
F (0.0000, 0.0000, 0.0000)
Bi (0.6663, 0.1663, 0.0000)
F (0.5000, 0.5000, 0.0000)
Mg (0.1524, 0.6524, 0.5000)
Bi (0.8337, 0.6663, 0.0000)
Bi (0.3337, 0.8337, 0.0000)
Mg (0.6524, 0.8476, 0.5000)
Mg (0.8476, 0.3476, 0.5000)
Bi (0.1663, 0.3337, 0.0000)

Results
Fermi-level density of states, states/eV per cell: 3.4


Record 4
Here is a geometry-optimized MgBiF6 structure from the Alexandria database. Energies are from PBE.

Cell: 5.7732 5.7732 5.7732 Å, 56.92 56.92 56.92°
Site moments in Bohr magnetons follow the coordinates.
Atoms (fractional coordinates):
F (0.1461, 0.7393, 0.3741)  0.10
F (0.2607, 0.6259, 0.8539)  0.10
F (0.6259, 0.8539, 0.2607)  0.10
Mg (0.5000, 0.5000, 0.5000)  0.00
F (0.7393, 0.3741, 0.1461)  0.10
F (0.8539, 0.2607, 0.6259)  0.10
F (0.3741, 0.1461, 0.7393)  0.10
Bi (0.0000, 0.0000, 0.0000)  0.16

Results
Fermi-level density of states, states/eV per cell: 3.2


Record 5
Here is a geometry-optimized MgBiF2 structure from the Alexandria database. Energies are from PBE.

Cell: 4.6113 4.6113 4.6113 Å, 60.00 60.00 60.00°
Atoms (fractional coordinates):
Bi (0.5000, 0.5000, 0.5000)
F (0.7500, 0.7500, 0.7500)
Mg (0.0000, 0.0000, 0.0000)
F (0.2500, 0.2500, 0.2500)

Results
Fermi-level density of states, states/eV per cell: 3.5


Record 6
Here is a geometry-optimized Mg2BiF8 structure from the Alexandria database. Energies are from PBE.

Cell: 3.8610 5.8998 5.8998 Å, 114.57 93.95 93.95°
Site moments in Bohr magnetons follow the coordinates.
Atoms (fractional coordinates):
F (0.9503, 0.9312, 0.6776)  0.05
F (0.0497, 0.3224, 0.0688)  0.05
Bi (0.5000, 0.0000, 0.0000)  -0.01
F (0.5000, 0.7560, 0.2440)  0.03
Mg (0.0000, 0.3095, 0.6905)  0.00
F (0.9503, 0.6776, 0.9312)  0.05
F (0.6796, 0.4008, 0.4008)  0.40
F (0.3204, 0.5992, 0.5992)  0.40
F (0.5000, 0.2440, 0.7560)  0.03
Mg (0.0000, 0.6905, 0.3095)  0.00
F (0.0497, 0.0688, 0.3224)  0.05


Record 7
Here is a geometry-optimized MgBiF2 structure from the Alexandria database. Energies are from PBE.

Cell: 6.0950 6.0950 6.0994 Å, 60.02 60.02 90.00°
Atoms (fractional coordinates):
F (0.8750, 0.6244, 0.7500)
F (0.3744, 0.1250, 0.2500)
Mg (0.2500, 0.7500, 0.5000)
Bi (0.7500, 0.2500, 0.5000)
Mg (0.5000, 0.5000, 0.0000)
F (0.3750, 0.6256, 0.7500)
Bi (0.0000, 0.0000, 0.0000)
F (0.3756, 0.6250, 0.2500)

Results
Fermi-level density of states, states/eV per cell: 0.6


Record 8
Here is a geometry-optimized MgBiF6 structure from the Alexandria database. Energies are from PBE.

Cell: 5.2813 5.2813 9.8811 Å, 90.00 90.00 120.00°
Site moments in Bohr magnetons follow the coordinates.
Atoms (fractional coordinates):
F (0.9645, 0.6506, 0.8712)  0.10
Bi (0.0000, 0.0000, 0.0000)  0.16
F (0.0355, 0.6861, 0.3712)  0.10
Bi (0.0000, 0.0000, 0.5000)  0.16
F (0.3139, 0.3494, 0.3712)  0.10
Mg (0.6667, 0.3333, 0.7500)  0.00
F (0.6861, 0.0355, 0.8712)  0.10
F (0.3494, 0.0355, 0.6288)  0.10
F (0.6506, 0.6861, 0.1288)  0.10
F (0.0355, 0.3494, 0.1288)  0.10
F (0.3494, 0.3139, 0.8712)  0.10
Mg (0.3333, 0.6667, 0.2500)  0.00
F (0.3139, 0.9645, 0.1288)  0.10
F (0.6861, 0.6506, 0.6288)  0.10
F (0.9645, 0.3139, 0.6288)  0.10
F (0.6506, 0.9645, 0.3712)  0.10

Results
Fermi-level density of states, states/eV per cell: 5.9


no.,formation energy without anion corrections (meV per atom)
1,-552
2,-2847
3,-466
4,-2598
5,-1183
6,-2661
7,-2220
8,-2585